*P*
Here is a geometry-optimized K2ZnCl structure from Alexandria. Energies are from PBE.

SG = Fm-3m (225)

Lattice parameters (Å, degrees): 5.8278 5.8278 5.8278 60.00 60.00 60.00
Fractional coordinates of all 4 atoms:
K 0.2500 0.2500 0.2500
K 0.7500 0.7500 0.7500
Zn 0.0000 0.0000 0.0000
Cl 0.5000 0.5000 0.5000



*Q*
Here is a geometry-optimized K2ZnCl structure from Alexandria. Energies are from PBE.

SG = I-4m2 (119)

Lattice parameters (Å, degrees): 7.8265 7.8265 7.8265 145.45 145.45 49.66
Fractional coordinates of all 4 atoms:
K 0.0000 0.0000 0.0000
K 0.7500 0.2500 0.5000
Zn 0.2500 0.7500 0.5000
Cl 0.5000 0.5000 0.0000



Preferred: *Q*; penalty for the next structure: 35 meV/atom.



*P*
Here is a geometry-optimized K2ZnCl structure from Alexandria. Energies are from PBE.

SG = P4/mmm (123)

Lattice parameters (Å, degrees): 3.8820 3.8820 8.5844 90.00 90.00 90.00
Fractional coordinates of all 4 atoms:
K 0.0000 0.0000 0.2183
K 0.0000 0.0000 0.7817
Zn 0.5000 0.5000 0.5000
Cl 0.5000 0.5000 0.0000



*Q*
Here is a geometry-optimized K2ZnCl structure from Alexandria. Energies are from PBE.

SG = I-42d (122)

Lattice parameters (Å, degrees): 7.6421 7.6421 7.6421 109.95 109.95 108.52
Fractional coordinates of all 8 atoms:
K 0.0749 0.6250 0.9499
K 0.3750 0.3249 0.4499
K 0.6751 0.1250 0.0501
K 0.8750 0.9251 0.5501
Zn 0.2500 0.7500 0.5000
Zn 0.5000 0.5000 0.0000
Cl 0.0000 0.0000 0.0000
Cl 0.7500 0.2500 0.5000



Preferred: *P*; penalty for the next structure: 103 meV/atom.



*P*
Here is a geometry-optimized K2ZnCl structure from Alexandria. Energies are from PBE.

SG = C2/m (12)

Lattice parameters (Å, degrees): 4.3445 4.3445 9.4589 103.17 103.17 59.89
Fractional coordinates of all 4 atoms:
K 0.2366 0.2366 0.2116
K 0.7634 0.7634 0.7884
Zn 0.0000 0.0000 0.5000
Cl 0.5000 0.5000 0.0000



*Q*
Here is a geometry-optimized K2ZnCl structure from Alexandria. Energies are from PBE.

SG = P4mm (99)

Lattice parameters (Å, degrees): 4.1848 4.1848 9.6144 90.00 90.00 90.00
Fractional coordinates of all 4 atoms:
K 0.0000 0.0000 0.0000
K 0.5000 0.5000 0.4178
Zn 0.0000 0.0000 0.6263
Cl 0.5000 0.5000 0.1002



Preferred: *P*; penalty for the next structure: 44 meV/atom.



*P*
Here is a geometry-optimized KZrCl2 structure from Alexandria. Energies are from PBE.

SG = F-43m (216)

Lattice parameters (Å, degrees): 5.2668 5.2668 5.2668 60.00 60.00 60.00
Fractional coordinates of all 4 atoms:
K 0.0000 0.0000 0.0000
Zr 0.2500 0.2500 0.2500
Cl 0.5000 0.5000 0.5000
Cl 0.7500 0.7500 0.7500



*Q*
Here is a geometry-optimized KZrCl2 structure from Alexandria. Energies are from PBE.

SG = P4/mmm (123)

Lattice parameters (Å, degrees): 5.1966 5.1966 3.5600 90.00 90.00 90.00
Fractional coordinates of all 4 atoms:
K 0.0000 0.0000 0.0000
Zr 0.5000 0.5000 0.5000
Cl 0.0000 0.5000 0.5000
Cl 0.5000 0.0000 0.5000



*R*
Here is a geometry-optimized KZrCl2 structure from Alexandria. Energies are from PBE.

SG = Cmmm (65)

Lattice parameters (Å, degrees): 3.7687 3.7687 9.3099 90.00 90.00 127.73
Fractional coordinates of all 4 atoms:
K 0.0000 0.0000 0.0000
Zr 0.0000 0.0000 0.5000
Cl 0.5000 0.5000 0.2762
Cl 0.5000 0.5000 0.7238



Preferred: *Q*; penalty for the next structure: 94 meV/atom.



*P*
Here is a geometry-optimized KZrCl2 structure from Alexandria. Energies are from PBE.

SG = I-4m2 (119)

Lattice parameters (Å, degrees): 8.2969 8.2969 8.2969 152.24 152.24 39.67
Fractional coordinates of all 4 atoms:
K 0.0000 0.0000 0.0000
Zr 0.2500 0.7500 0.5000
Cl 0.5000 0.5000 0.0000
Cl 0.7500 0.2500 0.5000



*Q*
Here is a geometry-optimized KZrCl2 structure from Alexandria. Energies are from PBE.

SG = Pmm2 (25)

Lattice parameters (Å, degrees): 3.4148 4.0531 7.6583 90.00 90.00 90.00
Fractional coordinates of all 4 atoms:
K 0.0000 0.0000 0.0000
Zr 0.5000 0.5000 0.4396
Cl 0.0000 0.0000 0.5124
Cl 0.5000 0.5000 0.7832



*R*
Here is a geometry-optimized KZrCl2 structure from Alexandria. Energies are from PBE.

SG = R3m (160)

Lattice parameters (Å, degrees): 10.4102 10.4102 10.4102 19.69 19.69 19.69
Fractional coordinates of all 4 atoms:
K 0.0000 0.0000 0.0000
Zr 0.2088 0.2088 0.2088
Cl 0.4886 0.4886 0.4886
Cl 0.7292 0.7292 0.7292



Preferred: *Q*; penalty for the next structure: 170 meV/atom.



*P*
Here is a geometry-optimized KZrCl2 structure from Alexandria. Energies are from PBE.

SG = Fm-3m (225)

Lattice parameters (Å, degrees): 5.1434 5.1434 5.1434 60.00 60.00 60.00
Fractional coordinates of all 4 atoms:
K 0.0000 0.0000 0.0000
Zr 0.5000 0.5000 0.5000
Cl 0.2500 0.2500 0.2500
Cl 0.7500 0.7500 0.7500



*Q*
Here is a geometry-optimized KZrCl2 structure from Alexandria. Energies are from PBE.

SG = Imm2 (44)

Lattice parameters (Å, degrees): 7.6775 7.6775 7.6775 153.97 150.84 39.48
Fractional coordinates of all 4 atoms:
K 0.0000 0.0000 0.0000
Zr 0.2438 0.7438 0.5000
Cl 0.6158 0.6158 0.0000
Cl 0.8154 0.3154 0.5000



*R*
Here is a geometry-optimized KZrCl2 structure from Alexandria. Energies are from PBE.

SG = Cm (8)

Lattice parameters (Å, degrees): 7.4699 7.4699 4.3773 90.85 90.85 25.91
Fractional coordinates of all 4 atoms:
K 0.0000 0.0000 0.0000
Zr 0.2635 0.2635 0.5117
Cl 0.6097 0.6097 0.5051
Cl 0.7883 0.7883 0.0135



Preferred: *Q*; penalty for the next structure: 62 meV/atom.



*P*
Here is a geometry-optimized KZrCl2 structure from Alexandria. Energies are from PBE.

SG = Immm (71)

Lattice parameters (Å, degrees): 6.3089 6.3089 6.3089 149.75 107.15 80.87
Fractional coordinates of all 4 atoms:
K 0.0000 0.0000 0.0000
Zr 0.5000 0.5000 0.0000
Cl 0.2903 0.7903 0.5000
Cl 0.7097 0.2097 0.5000



*Q*
Here is a geometry-optimized KZrCl2 structure from Alexandria. Energies are from PBE.

SG = I-42d (122)

Lattice parameters (Å, degrees): 8.6858 8.6858 8.6858 139.56 139.56 58.52
Fractional coordinates of all 8 atoms:
K 0.0000 0.0000 0.0000
K 0.7500 0.2500 0.5000
Zr 0.2500 0.7500 0.5000
Zr 0.5000 0.5000 0.0000
Cl 0.2103 0.6250 0.0853
Cl 0.3750 0.4603 0.5853
Cl 0.5397 0.1250 0.9147
Cl 0.8750 0.7897 0.4147



Preferred: *P*; penalty for the next structure: 149 meV/atom.



*P*
Here is a geometry-optimized KZr2Cl structure from Alexandria. Energies are from PBE.

SG = Immm (71)

Lattice parameters (Å, degrees): 7.0984 7.0984 7.0984 154.61 138.63 49.17
Fractional coordinates of all 4 atoms:
K 0.0000 0.0000 0.0000
Zr 0.2924 0.7924 0.5000
Zr 0.7076 0.2076 0.5000
Cl 0.5000 0.5000 0.0000



*Q*
Here is a geometry-optimized KZr2Cl structure from Alexandria. Energies are from PBE.

SG = Cmmm (65)

Lattice parameters (Å, degrees): 7.2732 7.2732 3.1111 90.00 90.00 134.41
Fractional coordinates of all 4 atoms:
K 0.0000 0.0000 0.0000
Zr 0.0000 0.5000 0.5000
Zr 0.5000 0.0000 0.5000
Cl 0.5000 0.5000 0.0000



Preferred: *P*; penalty for the next structure: 576 meV/atom.



*P*
Here is a geometry-optimized KZr2Cl2 structure from Alexandria. Energies are from PBE.

SG = I4/mmm (139)

Lattice parameters (Å, degrees): 5.8753 5.8753 5.8753 127.49 127.49 77.45
Fractional coordinates of all 5 atoms:
K 0.0000 0.0000 0.0000
Zr 0.3569 0.3569 0.0000
Zr 0.6431 0.6431 0.0000
Cl 0.2500 0.7500 0.5000
Cl 0.7500 0.2500 0.5000



*Q*
Here is a geometry-optimized KZr2Cl2 structure from Alexandria. Energies are from PBE.

SG = P4/mbm (127)

Lattice parameters (Å, degrees): 9.7937 9.7937 3.2344 90.00 90.00 90.00
Fractional coordinates of all 10 atoms:
K 0.0000 0.0000 0.0000
K 0.5000 0.5000 0.0000
Zr 0.1006 0.3994 0.0000
Zr 0.3994 0.8994 0.0000
Zr 0.6006 0.1006 0.0000
Zr 0.8994 0.6006 0.0000
Cl 0.1256 0.6256 0.5000
Cl 0.3744 0.1256 0.5000
Cl 0.6256 0.8744 0.5000
Cl 0.8744 0.3744 0.5000



Preferred: *P*; penalty for the next structure: 229 meV/atom.



*P*
Here is a geometry-optimized K3ZrCl structure from Alexandria. Energies are from PBE.

SG = Pm-3m (221)

Lattice parameters (Å, degrees): 6.7874 6.7874 6.7874 90.00 90.00 90.00
Fractional coordinates of all 5 atoms:
K 0.0000 0.0000 0.5000
K 0.0000 0.5000 0.0000
K 0.5000 0.0000 0.0000
Zr 0.0000 0.0000 0.0000
Cl 0.5000 0.5000 0.5000



*Q*
Here is a geometry-optimized K3ZrCl structure from Alexandria. Energies are from PBE.

SG = Pm-3m (221)

Lattice parameters (Å, degrees): 6.1005 6.1005 6.1005 90.00 90.00 90.00
Fractional coordinates of all 5 atoms:
K 0.0000 0.0000 0.5000
K 0.0000 0.5000 0.0000
K 0.5000 0.0000 0.0000
Zr 0.5000 0.5000 0.5000
Cl 0.0000 0.0000 0.0000



Preferred: *Q*; penalty for the next structure: 492 meV/atom.



*P*
Here is a geometry-optimized KZr3Cl structure from Alexandria. Energies are from PBE.

SG = Pm-3m (221)

Lattice parameters (Å, degrees): 5.0169 5.0169 5.0169 90.00 90.00 90.00
Fractional coordinates of all 5 atoms:
K 0.0000 0.0000 0.0000
Zr 0.0000 0.5000 0.5000
Zr 0.5000 0.0000 0.5000
Zr 0.5000 0.5000 0.0000
Cl 0.5000 0.5000 0.5000



*Q*
Here is a geometry-optimized KZr3Cl structure from Alexandria. Energies are from PBE.

SG = Pm-3m (221)

Lattice parameters (Å, degrees): 5.1265 5.1265 5.1265 90.00 90.00 90.00
Fractional coordinates of all 5 atoms:
K 0.0000 0.0000 0.0000
Zr 0.0000 0.0000 0.5000
Zr 0.0000 0.5000 0.0000
Zr 0.5000 0.0000 0.0000
Cl 0.5000 0.5000 0.5000



Preferred: *P*; penalty for the next structure: 1612 meV/atom.



*P*
Here is a geometry-optimized KZrCl4 structure from Alexandria. Energies are from PBE.

SG = F-43m (216)

Lattice parameters (Å, degrees): 6.0001 6.0001 6.0001 60.00 60.00 60.00
Fractional coordinates of all 6 atoms:
K 0.0000 0.0000 0.0000
Zr 0.7500 0.7500 0.7500
Cl 0.3757 0.3757 0.3757
Cl 0.3757 0.3757 0.8728
Cl 0.3757 0.8728 0.3757
Cl 0.8728 0.3757 0.3757



*Q*
Here is a geometry-optimized KZrCl4 structure from Alexandria. Energies are from PBE.

SG = C2/c (15)

Lattice parameters (Å, degrees): 8.0010 8.0010 6.9788 102.40 102.40 107.09
Fractional coordinates of all 12 atoms:
K 0.1371 0.8629 0.7500
K 0.8629 0.1371 0.2500
Zr 0.4999 0.5001 0.2500
Zr 0.5001 0.4999 0.7500
Cl 0.2192 0.2207 0.6113
Cl 0.2207 0.2192 0.1113
Cl 0.3409 0.6438 0.4966
Cl 0.3562 0.6591 0.0034
Cl 0.6438 0.3409 0.9966
Cl 0.6591 0.3562 0.5034
Cl 0.7793 0.7808 0.8887
Cl 0.7808 0.7793 0.3887



Preferred: *Q*; penalty for the next structure: 1757 meV/atom.